[1]
Below is PRhC2 after structural relaxation, with properties calculated at the GGA-PBE level.

```
PRhC2
1.0
-2.0480 0.2152 1.5958
0.6327 -1.8669 3.0461
1.4883 4.2531 3.2760
Rh C P
1 2 1
direct
0.9592 0.8777 0.1628 Rh
0.9648 0.2196 0.8292 C
0.4871 0.2834 0.7143 C
0.5800 0.4112 0.3829 P
```

energy relative to the elements = 321 meV per atom
ρ = 5.427 g/cm3
density of states at the Fermi level = 0.48 states/eV/cell

[2]
Below is PaAl2Pd after structural relaxation, with properties calculated at the GGA-PBE level.

```
PaAl2Pd
1.0
3.0309 0.0000 0.0000
0.0000 3.0309 0.0000
0.0000 0.0000 7.7821
Pd Al Pa
1 2 1
direct
0.5000 0.5000 0.0000 Pd
0.0000 0.0000 0.7979 Al
0.0000 0.0000 0.2021 Al
0.5000 0.5000 0.5000 Pa
```

energy relative to the elements = -523 meV per atom
ρ = 9.092 g/cm3
density of states at the Fermi level = 5.22 states/eV/cell

[3]
Below is Mn4Hg3Au after structural relaxation, with properties calculated at the GGA-PBE level.

```
Mn4Hg3Au
1.0
-1.6978 1.8637 2.1614
-2.3659 -2.3256 0.1469
6.2755 -5.7589 9.8952
Hg Mn Au
3 4 1
direct
0.0000 0.0000 0.5000 Hg
0.0000 0.0000 0.7542 Hg
0.0000 0.0000 0.2458 Hg
0.5000 0.5000 0.3723 Mn
0.5000 0.5000 0.8839 Mn
0.5000 0.5000 0.1161 Mn
0.5000 0.5000 0.6277 Mn
0.0000 0.0000 0.0000 Au
```

energy relative to the elements = 254 meV per atom
ρ = 11.747 g/cm3
density of states at the Fermi level = 5.20 states/eV/cell

[4]
Below is HoFe2SiC after structural relaxation, with properties calculated at the GGA-PBE level.

```
HoFe2SiC
1.0
-2.7643 -0.6150 -4.7529
0.7907 -2.5535 4.8440
-5.2205 3.3268 2.6058
Fe Si C Ho
4 2 2 2
direct
0.1653 0.8347 0.9374 Fe
0.8347 0.1653 0.0626 Fe
0.1653 0.8347 0.5626 Fe
0.8347 0.1653 0.4374 Fe
0.2700 0.7300 0.2500 Si
0.7300 0.2700 0.7500 Si
0.0000 0.0000 0.0000 C
0.0000 0.0000 0.5000 C
0.4496 0.5504 0.7500 Ho
0.5504 0.4496 0.2500 Ho
```

ρ = 8.053 g/cm3
density of states at the Fermi level = 8.77 states/eV/cell
energy relative to the elements, uncorrected = -2.68 eV per formula unit

[5]
Below is KRe4P2 after structural relaxation, with properties calculated at the GGA-PBE level.

```
KRe4P2
1.0
-1.8866 -3.4502 -0.5543
0.8618 0.1632 -3.9489
6.7773 -4.2482 3.3753
Re P K
4 2 1
direct
0.5000 0.8088 0.6176 Re
0.0000 0.7039 0.4079 Re
0.0000 0.2961 0.5921 Re
0.5000 0.1912 0.3824 Re
0.5000 0.6139 0.2277 P
0.5000 0.3861 0.7723 P
0.0000 0.0000 0.0000 K
```

energy relative to the elements = -164 meV per atom
ρ = 10.356 g/cm3
density of states at the Fermi level = 4.75 states/eV/cell

[6]
Below is NdDy4HoSe8 after structural relaxation, with properties calculated at the GGA-PBE level.

```
NdDy4HoSe8
1.0
-7.1042 -3.5906 2.8679
0.1639 -7.9208 2.9699
-0.9718 -1.4361 8.2755
Ho Se Dy Nd
1 8 4 1
direct
0.9994 0.9994 0.0018 Ho
0.2385 0.7827 0.7403 Se
0.2385 0.2385 0.7403 Se
0.2393 0.2393 0.2822 Se
0.7581 0.2282 0.2556 Se
0.7581 0.7581 0.2556 Se
0.7827 0.2385 0.7403 Se
0.7568 0.7568 0.7297 Se
0.2282 0.7581 0.2556 Se
0.5025 0.9991 0.4993 Dy
0.9991 0.5025 0.4993 Dy
0.9991 0.9991 0.4993 Dy
0.6247 0.6247 0.1259 Dy
0.3751 0.3751 0.8748 Nd
```

ρ = 6.174 g/cm3
density of states at the Fermi level = 8.84 states/eV/cell
energy relative to the elements, uncorrected = -23.98 eV per formula unit

[7]
Below is KNa2BeNb after structural relaxation, with properties calculated at the GGA-PBE level.

```
KNa2BeNb
1.0
-0.6899 5.4361 -2.5781
1.9843 -2.4920 -5.7856
-5.7348 -1.3789 -1.3729
Na Nb K Be
2 1 1 1
direct
0.0000 0.0000 0.5000 Na
0.5000 0.0000 0.0000 Na
0.0000 0.0000 0.0000 Nb
0.0000 0.5000 0.0000 K
0.5000 0.5000 0.5000 Be
```

energy relative to the elements = 1711 meV per atom
ρ = 1.282 g/cm3
density of states at the Fermi level = 4.50 states/eV/cell

[8]
Below is KCa2P after structural relaxation, with properties calculated at the GGA-PBE level.

```
KCa2P
1.0
-3.9681 -3.7791 1.1606
5.4882 -2.3355 -2.0867
2.2881 -1.5364 3.3610
K Ca P
1 2 1
direct
0.0000 0.5000 0.5000 K
0.5000 0.0000 0.5000 Ca
0.0000 0.0000 0.0000 Ca
0.5000 0.5000 0.0000 P
```

energy relative to the elements = 118 meV per atom
ρ = 1.948 g/cm3
density of states at the Fermi level = 3.01 states/eV/cell